No. 1
# Sr2YAs2

A relaxed structure of Sr2YAs2 (PBE-GGA, Alexandria via LeMat-Bulk).

Cell lengths 8.139, 8.139, 4.385 Å; angles 90.00, 90.00, 90.00 degrees
Positions (direct):
1 Y 0.000 0.000 0.000
2 Y 0.500 0.500 0.000
3 Sr 0.142 0.642 0.500
4 Sr 0.642 0.858 0.500
5 Sr 0.858 0.358 0.500
6 Sr 0.358 0.142 0.500
7 As 0.331 0.831 0.000
8 As 0.831 0.669 0.000
9 As 0.669 0.169 0.000
10 As 0.169 0.331 0.000

Output
- Raw total energy: -4.86 eV/atom
- Space group: P4/mbm, No. 127
- V: 145.23 Å³/f.u.

---

No. 2
# AcLaPm6

A relaxed structure of AcLaPm6 (PBE-GGA, Alexandria via LeMat-Bulk).

Cell lengths 5.239, 5.239, 10.471 Å; angles 90.00, 90.00, 90.00 degrees
Positions (direct):
1 Ac 0.000 0.000 0.000
2 La 0.000 0.000 0.500
3 Pm 0.500 0.500 0.000
4 Pm 0.500 0.500 0.500
5 Pm 0.500 0.000 0.254
6 Pm 0.500 0.000 0.746
7 Pm 0.000 0.500 0.254
8 Pm 0.000 0.500 0.746

Output
- Raw total energy: -4.67 eV/atom
- Space group: P4/mmm, No. 123
- V: 287.39 Å³/f.u.

---

No. 3
# GaCoSe2

A relaxed structure of GaCoSe2 (PBE-GGA, Alexandria via LeMat-Bulk).

Cell lengths 3.749, 3.750, 6.894 Å; angles 88.27, 88.85, 60.03 degrees
Positions (direct):
1 Co 0.196 0.480 0.953
2 Ga 0.531 0.823 0.772
3 Se 0.200 0.499 0.583
4 Se 0.861 0.139 0.098

Output
- Raw total energy: -4.54 eV/atom
- Space group: P1, No. 1
- Formation energy without anion corrections: -0.2616 eV/atom
- V: 83.93 Å³/f.u.

---

No. 4
# Li6AgBi

A relaxed structure of Li6AgBi (PBE-GGA, Alexandria via LeMat-Bulk).

Cell lengths 4.789, 5.987, 5.987 Å; angles 119.95, 90.00, 90.00 degrees
Positions (direct):
1 Li 0.000 0.091 0.421
2 Li 0.000 0.579 0.909
3 Li 0.000 0.580 0.420
4 Li 0.500 0.408 0.079
5 Li 0.500 0.921 0.592
6 Li 0.500 0.920 0.080
7 Ag 0.000 0.083 0.917
8 Bi 0.500 0.417 0.583

Output
- Raw total energy: -2.57 eV/atom
- Space group: P-6m2, No. 187
- V: 148.71 Å³/f.u.

---

No. 5
# Tl2SnAuCl

A relaxed structure of Tl2SnAuCl (PBE-GGA, Alexandria via LeMat-Bulk).

Cell lengths 5.732, 4.906, 5.732 Å; angles 90.00, 90.00, 90.00 degrees
Positions (direct):
1 Tl 0.000 0.000 0.500
2 Tl 0.500 0.000 0.000
3 Au 0.000 0.000 0.000
4 Sn 0.500 0.500 0.500
5 Cl 0.000 0.500 0.000

Output
- Raw total energy: -2.59 eV/atom
- Space group: P4/mmm, No. 123
- Formation energy without anion corrections: 0.1795 eV/atom
- V: 161.20 Å³/f.u.

---

No. 6
# Er5AlRh4

A relaxed structure of Er5AlRh4 (PBE-GGA, Alexandria via LeMat-Bulk).

Cell lengths 3.438, 3.438, 17.150 Å; angles 90.00, 90.00, 90.00 degrees
Positions (direct):
1 Er 0.500 0.500 0.112
2 Er 0.500 0.500 0.305
3 Er 0.500 0.500 0.500
4 Er 0.500 0.500 0.695
5 Er 0.500 0.500 0.888
6 Al 0.000 0.000 0.000
7 Rh 0.000 0.000 0.205
8 Rh 0.000 0.000 0.402
9 Rh 0.000 0.000 0.598
10 Rh 0.000 0.000 0.795

Output
- Raw total energy: -6.42 eV/atom
- Space group: P4/mmm, No. 123
- V: 202.69 Å³/f.u.

---

No. 7
# VAgSb2Pd

A relaxed structure of VAgSb2Pd (PBE-GGA, Alexandria via LeMat-Bulk).

Cell lengths 5.043, 4.829, 5.043 Å; angles 90.00, 90.00, 90.00 degrees
Positions (direct):
1 Sb 0.000 0.000 0.500
2 Sb 0.500 0.000 0.000
3 Pd 0.000 0.500 0.000
4 Ag 0.500 0.500 0.500
5 V 0.000 0.000 0.000

Output
- Raw total energy: -4.52 eV/atom
- Space group: P4/mmm, No. 123
- Formation energy without anion corrections: 0.5602 eV/atom
- V: 122.81 Å³/f.u.

---

No. 8
# TaBi2F2

A relaxed structure of TaBi2F2 (PBE-GGA, Alexandria via LeMat-Bulk).

Cell lengths 5.862, 5.862, 5.239 Å; angles 55.98, 55.98, 90.00 degrees
Positions (direct):
1 F 0.304 0.304 0.391
2 F 0.696 0.696 0.609
3 Bi 0.750 0.250 0.500
4 Bi 0.250 0.750 0.500
5 Ta 0.000 0.000 0.000

Output
- Raw total energy: -5.43 eV/atom
- Space group: I4/mmm, No. 139
- Formation energy without anion corrections: -0.7592 eV/atom
- V: 110.08 Å³/f.u.
- Excess energy over the best structure of this formula in the dataset: 0 meV per atom

---

No. 9
# Pr4BO7

A relaxed structure of Pr4BO7 (PBE-GGA, Alexandria via LeMat-Bulk).

Cell lengths 4.315, 6.857, 6.791 Å; angles 77.22, 71.47, 71.66 degrees
Positions (direct):
1 Pr 0.594 0.212 0.601
2 Pr 0.406 0.788 0.399
3 Pr 0.724 0.679 0.873
4 Pr 0.276 0.321 0.127
5 B 0.000 0.000 0.000
6 O 0.811 0.845 0.533
7 O 0.189 0.155 0.467
8 O 0.058 0.802 0.082
9 O 0.942 0.198 0.918
10 O 0.356 0.536 0.752
11 O 0.500 0.000 0.000
12 O 0.644 0.464 0.248

Output
- Raw total energy: -7.89 eV/atom
- Space group: C2/m, No. 12
- Formation energy without anion corrections: -2.8528 eV/atom
- V: 179.20 Å³/f.u.

---

No. 10
# YAs2Ir

A relaxed structure of YAs2Ir (PBE-GGA, Alexandria via LeMat-Bulk).

Cell lengths 4.719, 4.719, 4.719 Å; angles 60.00, 60.00, 60.00 degrees
Positions (direct):
1 Y 0.000 0.000 0.000
2 As 0.250 0.250 0.250
3 As 0.750 0.750 0.750
4 Ir 0.500 0.500 0.500

Output
- Raw total energy: -6.53 eV/atom
- Space group: Fm-3m, No. 225
- V: 74.33 Å³/f.u.
- Excess energy over the best structure of this formula in the dataset: 424 meV per atom

---

No. 11
# CeLuGaIr

A relaxed structure of CeLuGaIr (PBE-GGA, Alexandria via LeMat-Bulk).

Cell lengths 4.954, 4.954, 4.954 Å; angles 60.00, 60.00, 60.00 degrees
Positions (direct):
1 Ir 0.750 0.750 0.750
2 Lu 0.000 0.000 0.000
3 Ce 0.500 0.500 0.500
4 Ga 0.250 0.250 0.250

Output
- Raw total energy: -6.20 eV/atom
- Space group: F-43m, No. 216
- V: 85.96 Å³/f.u.

---

No. 12
# Pr8YIn6

A relaxed structure of Pr8YIn6 (PBE-GGA, Alexandria via LeMat-Bulk).

Cell lengths 9.288, 9.288, 8.576 Å; angles 57.22, 57.22, 60.00 degrees
Positions (direct):
1 Pr 0.548 0.220 0.348
2 Pr 0.780 0.115 0.652
3 Pr 0.115 0.452 0.652
4 Pr 0.665 0.665 0.004
5 Pr 0.335 0.335 0.996
6 Pr 0.885 0.548 0.348
7 Pr 0.220 0.885 0.348
8 Pr 0.452 0.780 0.652
9 Y 0.000 0.000 0.000
10 In 0.380 0.053 0.840
11 In 0.947 0.272 0.160
12 In 0.272 0.620 0.160
13 In 0.728 0.380 0.840
14 In 0.053 0.728 0.840
15 In 0.620 0.947 0.160

Output
- Raw total energy: -4.33 eV/atom
- Space group: R-3, No. 148
- V: 500.04 Å³/f.u.

---

No. 13
# HoZrP2Rh5

A relaxed structure of HoZrP2Rh5 (PBE-GGA, Alexandria via LeMat-Bulk).

Cell lengths 4.011, 4.011, 10.433 Å; angles 90.00, 90.00, 90.00 degrees
Positions (direct):
1 Ho 0.000 0.000 0.500
2 Zr 0.000 0.000 0.000
3 P 0.500 0.500 0.284
4 P 0.500 0.500 0.716
5 Rh 0.000 0.500 0.182
6 Rh 0.500 0.000 0.182
7 Rh 0.000 0.500 0.818
8 Rh 0.500 0.000 0.818
9 Rh 0.500 0.500 0.500

Output
- Raw total energy: -7.49 eV/atom
- Space group: P4/mmm, No. 123
- V: 167.83 Å³/f.u.